# NaZn2PbN, optimized geometry, DFT PBE
# Magnetic moment ... 0.0 μB/f.u.
# Raw total energy ... -0.075 Ha/atom
# V ... 22.76 Å³/atom
# Theoretical density ... 5.5 g/cm³
# Formation energy from raw total energies ... 1139 meV/atom
data_NaZn2PbN
_chemical_formula_sum 'Na1 Zn2 Pb1 N1'
_space_group_name_H-M_alt 'P 4/m m m'
_space_group_IT_number 123
_space_group_name_Hall '-P 4 2'
_cell_length_a 5.089
_cell_length_b 5.089
_cell_length_c 4.395
_cell_angle_alpha 90.00
_cell_angle_beta 90.00
_cell_angle_gamma 90.00
loop_
_atom_site_label
_atom_site_fract_x
_atom_site_fract_y
_atom_site_fract_z
_atom_site_occupancy
Na1 0.000 0.000 0.000 1
Zn1 0.000 0.500 0.000 1
Pb1 0.500 0.500 0.500 1
N1 0.000 0.000 0.500 1

# Ba2AgO2F, optimized geometry, DFT PBE
# Magnetic moment ... 0.0 μB/f.u.
# Raw total energy ... -0.196 Ha/atom
# V ... 23.85 Å³/atom
# Theoretical density ... 5.0 g/cm³
# Formation energy from raw total energies ... -2261 meV/atom
data_Ba2AgO2F
_chemical_formula_sum 'Ba6 Ag3 O6 F3'
_space_group_name_H-M_alt 'R -3 m'
_space_group_IT_number 166
_space_group_name_Hall '-R 3 2"'
_cell_length_a 4.2284
_cell_length_b 4.2284
_cell_length_c 27.7278
_cell_angle_alpha 90.00
_cell_angle_beta 90.00
_cell_angle_gamma 120.00
loop_
_atom_site_label
_atom_site_fract_x
_atom_site_fract_y
_atom_site_fract_z
_atom_site_occupancy
Ba1 0.0000 0.0000 0.2312 1
Ag1 0.0000 0.0000 0.0000 1
O1 0.0000 0.0000 0.0742 1
F1 0.0000 0.0000 0.5000 1

# KZr2Hg, optimized geometry, DFT PBE
# Magnetic moment ... 0.0 μB/f.u.
# Raw total energy ... -0.162 Ha/atom
# V ... 27.65 Å³/atom
# Theoretical density ... 6.3 g/cm³
# DFT formation energy ... 0.22 eV per atom
data_KZr2Hg
_chemical_formula_sum 'K3 Zr6 Hg3'
_space_group_name_H-M_alt 'R 3 m'
_space_group_IT_number 160
_space_group_name_Hall 'R 3 -2"'
_cell_length_a 3.3720
_cell_length_b 3.3720
_cell_length_c 33.6967
_cell_angle_alpha 90.00
_cell_angle_beta 90.00
_cell_angle_gamma 120.00
loop_
_atom_site_label
_atom_site_fract_x
_atom_site_fract_y
_atom_site_fract_z
_atom_site_occupancy
K1 0.0000 0.0000 0.0000 1
Zr1 0.0000 0.0000 0.5064 1
Zr2 0.0000 0.0000 0.7694 1
Hg1 0.0000 0.0000 0.2448 1

# Pr3Nd7Sm, optimized geometry, DFT PBE
# Magnetic moment ... 0.0 μB/f.u.
# Raw total energy ... -0.167 Ha/atom
# V ... 36.63 Å³/atom
# Theoretical density ... 6.5 g/cm³
# DFT formation energy ... 0.21 eV per atom
data_Pr3Nd7Sm
_chemical_formula_sum 'Pr6 Nd14 Sm2'
_space_group_name_H-M_alt 'C 1 2/m 1'
_space_group_IT_number 12
_space_group_name_Hall '-C 2y'
_cell_length_a 11.946
_cell_length_b 10.343
_cell_length_c 6.549
_cell_angle_alpha 90.00
_cell_angle_beta 95.15
_cell_angle_gamma 90.00
loop_
_atom_site_label
_atom_site_fract_x
_atom_site_fract_y
_atom_site_fract_z
_atom_site_occupancy
Pr1 0.000 0.000 0.000 1
Pr2 0.000 0.173 0.500 1
Nd1 0.000 0.500 0.500 1
Nd2 0.239 0.000 0.714 1
Nd3 0.245 0.327 0.762 1
Sm1 0.000 0.500 0.000 1

# LiTl2Pt, optimized geometry, DFT PBE
# Magnetic moment ... 0.0 μB/f.u.
# Raw total energy ... -0.119 Ha/atom
# V ... 27.40 Å³/atom
# Theoretical density ... 9.3 g/cm³
# DFT formation energy ... -0.07 eV per atom
data_LiTl2Pt
_chemical_formula_sum 'Li4 Tl8 Pt4'
_space_group_name_H-M_alt 'I -4 2 d'
_space_group_IT_number 122
_space_group_name_Hall 'I -4 2bw'
_cell_length_a 9.323
_cell_length_b 9.323
_cell_length_c 5.043
_cell_angle_alpha 90.00
_cell_angle_beta 90.00
_cell_angle_gamma 90.00
loop_
_atom_site_label
_atom_site_fract_x
_atom_site_fract_y
_atom_site_fract_z
_atom_site_occupancy
Li1 0.000 0.000 0.000 1
Tl1 0.140 0.250 0.625 1
Pt1 0.000 0.000 0.500 1

# ThTaVSi2, optimized geometry, DFT PBE
# Magnetic moment ... 0.0 μB/f.u.
# Raw total energy ... -0.311 Ha/atom
# V ... 18.62 Å³/atom
# Theoretical density ... 9.3 g/cm³
# Formation energy from raw total energies ... -606 meV/atom
data_ThTaVSi2
_chemical_formula_sum 'Th2 Ta2 V2 Si4'
_space_group_name_H-M_alt 'I -4 m 2'
_space_group_IT_number 119
_space_group_name_Hall 'I -4 -2'
_cell_length_a 4.034
_cell_length_b 4.034
_cell_length_c 11.444
_cell_angle_alpha 90.00
_cell_angle_beta 90.00
_cell_angle_gamma 90.00
loop_
_atom_site_label
_atom_site_fract_x
_atom_site_fract_y
_atom_site_fract_z
_atom_site_occupancy
Th1 0.000 0.000 0.000 1
Ta1 0.000 0.500 0.250 1
V1 0.000 0.500 0.750 1
Si1 0.000 0.000 0.392 1

# Th3InPd12, optimized geometry, DFT PBE
# Magnetic moment ... 0.0 μB/f.u.
# Raw total energy ... -0.231 Ha/atom
# V ... 18.21 Å³/atom
# Theoretical density ... 11.9 g/cm³
# DFT formation energy ... -0.84 eV per atom
data_Th3InPd12
_chemical_formula_sum 'Th3 In1 Pd12'
_space_group_name_H-M_alt 'P 4/m m m'
_space_group_IT_number 123
_space_group_name_Hall '-P 4 2'
_cell_length_a 4.188
_cell_length_b 4.188
_cell_length_c 16.612
_cell_angle_alpha 90.00
_cell_angle_beta 90.00
_cell_angle_gamma 90.00
loop_
_atom_site_label
_atom_site_fract_x
_atom_site_fract_y
_atom_site_fract_z
_atom_site_occupancy
Th1 0.000 0.000 0.000 1
Th2 0.000 0.000 0.259 1
In1 0.000 0.000 0.500 1
Pd1 0.000 0.500 0.127 1
Pd2 0.000 0.500 0.380 1
Pd3 0.500 0.500 0.000 1
Pd4 0.500 0.500 0.253 1
Pd5 0.500 0.500 0.500 1

# Ga2GeOsO, optimized geometry, DFT PBE
# Magnetic moment ... 2.0 μB/f.u.
# Raw total energy ... -0.167 Ha/atom
# V ... 18.04 Å³/atom
# Theoretical density ... 7.7 g/cm³
# Formation energy from raw total energies ... 817 meV/atom
data_Ga2GeOsO
_chemical_formula_sum 'Ga2 Ge1 Os1 O1'
_space_group_name_H-M_alt 'P 4/m m m'
_space_group_IT_number 123
_space_group_name_Hall '-P 4 2'
_cell_length_a 5.057
_cell_length_b 5.057
_cell_length_c 3.526
_cell_angle_alpha 90.00
_cell_angle_beta 90.00
_cell_angle_gamma 90.00
loop_
_atom_site_label
_atom_site_fract_x
_atom_site_fract_y
_atom_site_fract_z
_atom_site_occupancy
Ga1 0.000 0.500 0.000 1
Ge1 0.000 0.000 0.000 1
Os1 0.500 0.500 0.500 1
O1 0.000 0.000 0.500 1

# Tm4Ag2Ir, optimized geometry, DFT PBE
# Magnetic moment ... 0.0 μB/f.u.
# Raw total energy ... -0.187 Ha/atom
# V ... 24.29 Å³/atom
# Theoretical density ... 10.6 g/cm³
# DFT formation energy ... -0.46 eV per atom
data_Tm4Ag2Ir
_chemical_formula_sum 'Tm8 Ag4 Ir2'
_space_group_name_H-M_alt 'P 1'
_space_group_IT_number 1
_space_group_name_Hall 'P 1'
_cell_length_a 7.602
_cell_length_b 7.620
_cell_length_c 7.663
_cell_angle_alpha 112.02
_cell_angle_beta 113.33
_cell_angle_gamma 102.88
loop_
_atom_site_label
_atom_site_fract_x
_atom_site_fract_y
_atom_site_fract_z
_atom_site_occupancy
Tm1 0.000 0.000 0.000 1
Tm2 0.024 0.520 0.201 1
Tm3 0.254 0.369 0.586 1
Tm4 0.369 0.763 0.096 1
Tm5 0.443 0.322 0.076 1
Tm6 0.586 0.095 0.681 1
Tm7 0.832 0.464 0.607 1
Tm8 0.906 0.919 0.481 1
Ag1 0.259 0.819 0.711 1
Ag2 0.524 0.660 0.509 1
Ag3 0.695 0.644 0.971 1
Ag4 0.737 0.111 0.174 1
Ir1 0.047 0.302 0.841 1
Ir2 0.406 0.160 0.341 1

# MgCd2Cu, optimized geometry, DFT PBE
# Magnetic moment ... 0.0 μB/f.u.
# Raw total energy ... -0.069 Ha/atom
# V ... 18.68 Å³/atom
# Theoretical density ... 6.9 g/cm³
# DFT formation energy ... 0.00 eV per atom
data_MgCd2Cu
_chemical_formula_sum 'Mg2 Cd4 Cu2'
_space_group_name_H-M_alt 'I -4 m 2'
_space_group_IT_number 119
_space_group_name_Hall 'I -4 -2'
_cell_length_a 4.288
_cell_length_b 4.288
_cell_length_c 8.129
_cell_angle_alpha 90.00
_cell_angle_beta 90.00
_cell_angle_gamma 90.00
loop_
_atom_site_label
_atom_site_fract_x
_atom_site_fract_y
_atom_site_fract_z
_atom_site_occupancy
Mg1 0.000 0.000 0.000 1
Cd1 0.000 0.000 0.500 1
Cd2 0.000 0.500 0.750 1
Cu1 0.000 0.500 0.250 1

# ErHf3Pa2N6, optimized geometry, DFT PBE
# Magnetic moment ... 0.0 μB/f.u.
# Raw total energy ... -0.380 Ha/atom
# V ... 13.14 Å³/atom
# Theoretical density ... 13.2 g/cm³
# Formation energy from raw total energies ... -1728 meV/atom
data_ErHf3Pa2N6
_chemical_formula_sum 'Er2 Hf6 Pa4 N12'
_space_group_name_H-M_alt 'C 1 2/m 1'
_space_group_IT_number 12
_space_group_name_Hall '-C 2y'
_cell_length_a 14.619
_cell_length_b 3.303
_cell_length_c 6.745
_cell_angle_alpha 90.00
_cell_angle_beta 104.47
_cell_angle_gamma 90.00
loop_
_atom_site_label
_atom_site_fract_x
_atom_site_fract_y
_atom_site_fract_z
_atom_site_occupancy
Er1 0.000 0.000 0.000 1
Hf1 0.000 0.000 0.500 1
Hf2 0.165 0.500 0.833 1
Pa1 0.167 0.500 0.336 1
N1 0.003 0.500 0.738 1
N2 0.159 0.000 0.603 1
N3 0.171 0.000 0.071 1

- Which value of theoretical density does entry 3 give?
  6.3 g/cm³

- What is the formula in the seventh record?
  Th3InPd12